1.
# Y2HgMoC

A relaxed Y2HgMoC crystal (PBE-GGA, Alexandria).

Properties
Fermi-level density of states	5.487	states/eV/cell
space group	No. 123
size of the total moment	0.000	μB per atom
formation enthalpy at 0 K	-0.234	eV/atom

a = 4.9983 Å, b = 4.9983 Å, c = 4.1031 Å
α = 90.00°, β = 90.00°, γ = 90.00°
With the nearest neighbours (Å) after each atom.
Sites, in units of the cell vectors:
1 C 0.0000 0.0000 0.0000  2 Mo 2.05
2 Y 0.5000 0.0000 0.0000  2 C 2.50
3 Hg 0.5000 0.5000 0.5000  8 Y 3.23, 4 Mo 3.53
4 Mo 0.0000 0.0000 0.5000  2 C 2.05
5 Y 0.0000 0.5000 0.0000  2 C 2.50


2.
# Ag2PtCl5

A relaxed Ag2PtCl5 crystal (PBE-GGA, Alexandria).

Properties
E_form (uncorrected)	-0.43	eV/atom
Fermi-level density of states	6.419	states/eV/cell
space group	No. 63
size of the total moment	0.000	μB per atom

a = 5.2294 Å, b = 6.9703 Å, c = 12.3371 Å
α = 90.00°, β = 90.00°, γ = 112.03°
With the nearest neighbours (Å) after each atom.
Sites, in units of the cell vectors:
1 Cl 0.2935 0.5869 0.7500  2 Pt 2.62, 2 Ag 2.82
2 Cl 0.0677 0.1353 0.1161  1 Pt 2.34
3 Pt 0.8041 0.6081 0.7500  6 Cl 2.34-2.62
4 Pt 0.1960 0.3919 0.2500  6 Cl 2.34-2.62
5 Ag 0.1446 0.2893 0.9172  5 Cl 2.65-2.82
6 Ag 0.1446 0.2893 0.5828  5 Cl 2.65-2.82
7 Cl 0.6772 0.3544 0.6140  1 Pt 2.35
8 Cl 0.7065 0.4131 0.2500  2 Pt 2.62, 2 Ag 2.82
9 Ag 0.8554 0.7107 0.0828  5 Cl 2.65-2.82
10 Cl 0.3228 0.6456 0.3860  1 Pt 2.35
11 Cl 0.9323 0.8647 0.6161  1 Pt 2.34
12 Cl 0.0677 0.1353 0.3839  1 Pt 2.34
13 Ag 0.8554 0.7107 0.4172  5 Cl 2.65-2.82
14 Cl 0.6772 0.3544 0.8860  1 Pt 2.35
15 Cl 0.3228 0.6456 0.1140  1 Pt 2.35
16 Cl 0.9323 0.8647 0.8839  1 Pt 2.34


3.
# LiNdCl4

A relaxed LiNdCl4 crystal (PBE-GGA, Alexandria).

Properties
E_form (uncorrected)	-2.11	eV/atom
energy above the most stable polymorph in this dataset	0.0	kJ per mole of atoms
Fermi-level density of states	0.000	states/eV/cell
space group	No. 141
size of the total moment	0.000	μB per atom

a = 7.4965 Å, b = 7.4964 Å, c = 7.4964 Å
α = 71.95°, β = 71.94°, γ = 112.34°
With the nearest neighbours (Å) after each atom.
Sites, in units of the cell vectors:
1 Cl 0.1776 0.1135 0.0642  1 Li 2.32
2 Cl 0.8224 0.2582 0.5641  1 Li 2.32
3 Cl 0.7582 0.3223 0.0642  1 Li 2.32
4 Cl 0.1776 0.7418 0.4359  1 Li 2.32
5 Li 0.3750 0.1250 0.2500  4 Cl 2.32
6 Cl 0.8224 0.8865 0.9358  1 Li 2.32
7 Nd 0.8750 0.6250 0.2500  8 Cl 2.80-3.01
8 Cl 0.3865 0.3223 0.4359  1 Li 2.32
9 Cl 0.2418 0.6777 0.9358  1 Li 2.32
10 Li 0.6250 0.8750 0.7500  4 Cl 2.32
11 Cl 0.6135 0.6776 0.5641  1 Li 2.32
12 Nd 0.1250 0.3750 0.7500  8 Cl 2.80-3.01


4.
# Re4SiW

A relaxed Re4SiW crystal (PBE-GGA, Alexandria).

Properties
E_form (uncorrected)	0.59	eV/atom
Fermi-level density of states	4.082	states/eV/cell
space group	No. 216
size of the total moment	0.000	μB per atom

a = 5.1362 Å, b = 5.1362 Å, c = 5.1362 Å
α = 60.00°, β = 60.00°, γ = 60.00°
With the nearest neighbours (Å) after each atom.
Sites, in units of the cell vectors:
1 W 0.0000 0.0000 0.0000  12 Re 3.01, 4 Si 3.15
2 Re 0.3758 0.8727 0.3758  6 Re 2.55-2.58
3 Re 0.3758 0.3758 0.8727  6 Re 2.55-2.58
4 Re 0.3758 0.3758 0.3758  6 Re 2.55-2.58
5 Si 0.7500 0.7500 0.7500  12 Re 3.01, 4 W 3.15
6 Re 0.8727 0.3758 0.3758  6 Re 2.55-2.58